The following is a PBE-GGA calculation of a relaxed structure of K3Rb8Ag2, from the Alexandria database.

Calculated values
The calculated formation energy is 55 meV/atom. As for the total energy: -1.23 eV/atom. Its space group is P2/m.

Cell: 5.779 12.446 13.098 Å, 83.36 90.00 90.00°
Sites, in units of the cell vectors:
K1 0.000 0.293 0.084
Rb1 0.500 0.903 0.650
Rb2 0.000 0.859 0.237
K2 0.000 0.707 0.916
Ag1 0.500 0.211 0.602
Rb3 0.000 0.335 0.462
Ag2 0.500 0.789 0.398
Rb4 0.000 0.665 0.538
Rb5 0.500 0.433 0.782
Rb6 0.500 0.567 0.218
K3 0.500 0.000 0.000
Rb7 0.000 0.141 0.763
Rb8 0.500 0.097 0.350